Entry 1:
Here is crystalline Ti6TlIn at its relaxed geometry from the Alexandria database. Energies are from PBE-GGA.

Cell and atoms, written as extended XYZ:
```
8
Lattice="-2.176 -3.548 0.216 3.088 -2.012 -1.946 3.526 -1.714 7.369" Properties=species:S:1:pos:R:3 pbc="T T T"
Ti 0.456 -2.780 -0.865
Ti 2.219 -3.637 2.820
Ti -0.213 -2.199 1.937
Ti 1.563 -3.062 5.648
Ti 2.419 -1.432 0.856
Ti 4.195 -2.294 4.567
Tl 1.763 -0.857 3.684
In 0.000 0.000 0.000
```

Output
D(E_F) ... 9.23 states/eV per cell
ΔE_f ... -0.05 eV/atom
Magnetization ... 0.00 μB per atom

Entry 2:
Here is crystalline MgNiSnS4 at its relaxed geometry from the Alexandria database. Energies are from PBE-GGA.

Cell and atoms, written as extended XYZ:
```
14
Lattice="7.323 0.000 0.000 3.661 6.417 0.036 3.661 1.989 6.101" Properties=species:S:1:pos:R:3 pbc="T T T"
Mg 7.323 4.133 0.693
Mg 7.323 4.273 5.444
Ni 5.492 0.995 3.050
Ni 1.831 0.995 3.050
Sn 0.000 0.000 0.000
Sn 3.661 4.203 3.069
S 10.984 6.404 4.348
S 7.323 6.517 4.431
S 7.323 1.889 1.706
S 3.661 2.002 1.789
S 5.455 5.448 1.653
S 9.191 5.448 1.653
S 5.455 2.959 4.484
S 9.191 2.959 4.484
```

Output
D(E_F) ... 1.82 states/eV per cell
Raw formation energy ... -576 meV per atom
Magnetization ... 0.28 μB per atom

Entry 3:
Here is crystalline TeAsPbI2 at its relaxed geometry from the Alexandria database. Energies are from PBE-GGA.

Cell and atoms, written as extended XYZ:
```
5
Lattice="-4.325 -3.997 1.720 2.146 -4.069 -4.059 3.824 -2.284 4.310" Properties=species:S:1:pos:R:3 pbc="T T T"
Pb 0.000 0.000 0.000
I 1.073 -2.035 -2.030
I -2.163 -1.998 0.860
As 0.822 -5.175 0.985
Te 1.912 -1.142 2.155
```

Output
D(E_F) ... 3.95 states/eV per cell
Raw formation energy ... 547 meV per atom
Magnetization ... 0.27 μB per atom